# 1
Density functional theory data (PBE) for crystalline PuTh2RhN4 at its relaxed geometry.

The structure in CIF format:
```
data_PuTh2RhN4
_space_group_name_H-M_alt 'P 1'
_space_group_IT_number 1
_space_group_name_Hall 'P 1'
_cell_length_a 3.485
_cell_length_b 6.187
_cell_length_c 12.039
_cell_angle_alpha 90.00
_cell_angle_beta 90.00
_cell_angle_gamma 106.36
loop_
_atom_site_label
_atom_site_fract_x
_atom_site_fract_y
_atom_site_fract_z
Pu1 0.114 0.229 0.750
Pu2 0.886 0.771 0.250
Th1 0.370 0.740 0.559
Th2 0.630 0.260 0.059
Th3 0.630 0.260 0.441
Th4 0.370 0.740 0.941
Rh1 0.851 0.702 0.750
Rh2 0.149 0.298 0.250
N1 0.280 0.561 0.124
N2 0.720 0.439 0.624
N3 0.720 0.439 0.876
N4 0.280 0.561 0.376
N5 0.000 0.000 0.500
N6 0.000 0.000 0.000
N7 0.471 0.941 0.750
N8 0.529 0.059 0.250
```

***

# 2
Density functional theory data (PBE) for crystalline YTl2SeI at its relaxed geometry.

The structure in CIF format:
```
data_YTl2SeI
_space_group_name_H-M_alt 'P 1'
_space_group_IT_number 1
_space_group_name_Hall 'P 1'
_cell_length_a 6.139
_cell_length_b 6.139
_cell_length_c 5.341
_cell_angle_alpha 90.00
_cell_angle_beta 90.00
_cell_angle_gamma 90.00
loop_
_atom_site_label
_atom_site_fract_x
_atom_site_fract_y
_atom_site_fract_z
I1 0.500 0.500 0.500
Y1 0.000 0.000 0.500
Tl1 0.000 0.500 0.000
Tl2 0.500 0.000 0.000
Se1 0.000 0.000 0.000
```

***

# 3
Density functional theory data (PBE) for crystalline CrIn3Cl4 at its relaxed geometry.

The structure in CIF format:
```
data_CrIn3Cl4
_space_group_name_H-M_alt 'P 1'
_space_group_IT_number 1
_space_group_name_Hall 'P 1'
_cell_length_a 6.291
_cell_length_b 8.718
_cell_length_c 9.401
_cell_angle_alpha 90.00
_cell_angle_beta 90.00
_cell_angle_gamma 90.00
loop_
_atom_site_label
_atom_site_fract_x
_atom_site_fract_y
_atom_site_fract_z
Cr1 0.032 0.308 0.000
Cr2 0.532 0.692 0.500
In1 0.569 0.952 0.000
In2 0.039 0.668 0.183
In3 0.539 0.332 0.317
In4 0.069 0.048 0.500
In5 0.539 0.332 0.683
In6 0.039 0.668 0.817
Cl1 0.127 0.026 0.000
Cl2 0.609 0.285 0.000
Cl3 0.050 0.342 0.254
Cl4 0.550 0.658 0.246
Cl5 0.109 0.715 0.500
Cl6 0.627 0.974 0.500
Cl7 0.550 0.658 0.754
Cl8 0.050 0.342 0.746
```

***

| no. | V (Å³/cell) | E_form (uncorrected) (eV/atom) |
| --- | --- | --- |
| 1 | 249 | -1.01 |
| 2 | 201 | -0.28 |
| 3 | 516 | -0.62 |